Computed, not measured: a geometry-optimized Tb2Ho2TmMg2 structure at the PBE level of DFT.

Results
* magnetization: 0.0 μB/cell
* uncorrected energy: -3.74 eV per atom
* ΔE_f: -11 meV/atom

Unit cell a=5.4094 b=5.4094 c=23.8881 alpha=90.00 beta=90.00 gamma=120.00
Last column: nearest neighbours and their distance in Å.
Space group R-3m (No. 166, hexagonal axes)
One atom of each set of equivalent atoms:
1 Tb 0.0000 0.0000 0.1545  3 Tb 3.18, 1 Mg 3.22, 3 Ho 3.45
2 Ho 0.0000 0.0000 0.4264  4 Mg 3.27-3.34, 3 Tb 3.45, 1 Ho 3.52
3 Tm 0.0000 0.0000 0.0000  6 Mg 3.29
4 Mg 0.0000 0.0000 0.2895  1 Tb 3.22, 4 Ho 3.27-3.34, 3 Tm 3.29